1.
First-principles (PBE) data for a relaxed structure of SrLiAsS2, as listed in Alexandria via LeMat-Bulk.

The structure belongs to space group P4/mmm (No. 123); the cell edges are 5.125, 5.125 and 5.500 Å and the angles 90.00°, 90.00° and 90.00°. The asymmetric unit holds Sr at (0.000, 0.000, 0.000), Li at (0.500, 0.500, 0.000), As at (0.000, 0.000, 0.500) and S at (0.000, 0.500, 0.500).

The value obtained for the raw formation energy is -0.11 eV/atom. The density of states at the Fermi level is 0.13 states/eV/cell.

2.
First-principles (PBE) data for a relaxed structure of Sr2LiAs2S6, as listed in Alexandria via LeMat-Bulk.

The structure belongs to space group C2/m (No. 12); the cell edges are 12.455, 6.831 and 7.641 Å and the angles 90.00°, 118.85° and 90.00°. The asymmetric unit holds Sr at (0.223, 0.000, 0.199), Li at (0.000, 0.000, 0.500), As at (0.017, 0.500, 0.181), S at (0.078, 0.228, 0.795) and S at (0.219, 0.500, 0.367).

The value obtained for the raw formation energy is -0.91 eV/atom. The density of states at the Fermi level is 3.64 states/eV/cell.

3.
First-principles (PBE) data for a relaxed structure of SrLiAsS4, as listed in Alexandria via LeMat-Bulk.

The structure belongs to space group Imma (No. 74); the cell edges are 7.320, 9.552 and 10.211 Å and the angles 90.00°, 90.00° and 90.00°. The asymmetric unit holds Sr at (0.000, 0.000, 0.000), Li at (0.250, 0.250, 0.250), As at (0.000, 0.250, 0.602), S at (0.000, 0.052, 0.701) and S at (0.244, 0.250, 0.025).

The value obtained for the raw formation energy is -0.75 eV/atom. The density of states at the Fermi level is 1.23 states/eV/cell.

4.
First-principles (PBE) data for a relaxed structure of Li4Tb3AsS8, as listed in Alexandria via LeMat-Bulk.

The structure belongs to space group R-3m (No. 166, hexagonal axes); the cell edges are 7.7597, 7.7597 and 18.4824 Å and the angles 90.00°, 90.00° and 120.00°. The asymmetric unit holds Li at (0.0000, 0.0000, 0.0000), Li at (0.0000, 0.5000, 0.0000), Tb at (0.0000, 0.5000, 0.5000), As at (0.0000, 0.0000, 0.5000), S at (0.0000, 0.0000, 0.2509) and S at (0.0138, 0.5069, 0.2491).

The value obtained for the raw formation energy is -1.51 eV/atom. The density of states at the Fermi level is 0.00 states/eV/cell.

5.
First-principles (PBE) data for a relaxed structure of Li2TbAsS4, as listed in Alexandria via LeMat-Bulk.

The structure belongs to space group P2/m (No. 10); the cell edges are 6.525, 3.819 and 6.626 Å and the angles 90.00°, 109.69° and 90.00°. The asymmetric unit holds Li at (0.000, 0.000, 0.000), Li at (0.000, 0.500, 0.500), Tb at (0.500, 0.000, 0.500), As at (0.500, 0.500, 0.000), S at (0.251, 0.500, 0.237) and S at (0.256, 0.000, 0.765).

The value obtained for the raw formation energy is -1.18 eV/atom. The density of states at the Fermi level is 0.00 states/eV/cell.

6.
First-principles (PBE) data for a relaxed structure of Li2TeAsS4, as listed in Alexandria via LeMat-Bulk.

The structure belongs to space group C2/c (No. 15); the cell edges are 10.583, 10.430 and 7.529 Å and the angles 90.00°, 128.79° and 90.00°. The asymmetric unit holds Li at (0.000, 0.000, 0.000), Li at (0.250, 0.250, 0.000), Te at (0.250, 0.250, 0.500), As at (0.000, 0.500, 0.000), S at (0.022, 0.251, 0.538) and S at (0.222, 0.498, 0.946).

The value obtained for the raw formation energy is -0.42 eV/atom. The density of states at the Fermi level is 5.23 states/eV/cell.

Q: Which ρ values were calculated for the entries above? A: 2.7; 3.1; 2.8; 4.3; 4.0; 3.5, in g/cm3.